A plane-wave DFT calculation with PBE+U was carried out for VRh2O after structural relaxation.

Unit cell a=5.2224 b=5.2224 c=9.5074 alpha=90.00 beta=90.00 gamma=90.00
With the nearest neighbours (Å) after each atom.
Space group I-42d (No. 122)
Unique sites:
V1 0.0000 0.0000 0.0000 (multiplicity 4)  4 Rh 2.36
Rh1 0.2014 0.2500 0.6250 (multiplicity 8)  2 O 2.06
O1 0.0000 0.0000 0.5000 (multiplicity 4)  4 Rh 2.06

Calculated values
size of the total moment	0.5	μB per formula unit
V	16.2	Å³/atom
mass density	7.0	g/cm3
final energy	-6.314	eV per atom
DOS at the Fermi energy	0.640	states/eV per atom